Crystalline CaLa2Nd at its relaxed geometry. Source: Alexandria via LeMat-Bulk, functional PBE. Values from VASP.

Computed properties:
symmetry: P4/mmm

Geometry as Quantum ESPRESSO input:
```
&SYSTEM
  ibrav = 0, nat = 4, ntyp = 3
/
ATOMIC_SPECIES
Ca 40.08 Ca.upf
La 138.91 La.upf
Nd 144.24 Nd.upf
CELL_PARAMETERS angstrom
5.348 0.000 0.000
0.000 5.348 0.000
0.000 0.000 5.199
ATOMIC_POSITIONS angstrom
Ca 0.000 0.000 0.000
La 0.000 2.674 2.599
La 2.674 0.000 2.599
Nd 2.674 2.674 0.000
```

Crystalline CaLa3Nd at its relaxed geometry. Source: Alexandria via LeMat-Bulk, functional PBE. Values from VASP.

Computed properties:
symmetry: R-3

Geometry as Quantum ESPRESSO input:
```
&SYSTEM
  ibrav = 0, nat = 10, ntyp = 3
/
ATOMIC_SPECIES
Ca 40.08 Ca.upf
La 138.91 La.upf
Nd 144.24 Nd.upf
CELL_PARAMETERS angstrom
3.154 1.821 11.978
-3.154 1.821 11.978
0.000 -3.641 11.978
ATOMIC_POSITIONS angstrom
Ca 0.000 0.000 6.053
Ca 0.000 0.000 29.882
La -2.081 0.114 14.802
La -1.140 -1.745 21.133
La 0.942 -1.860 14.802
La -0.942 1.860 21.133
La 1.140 1.745 14.802
La 2.081 -0.114 21.133
Nd 0.000 0.000 11.946
Nd 0.000 0.000 23.989
```

Crystalline CaLa2Nd2 at its relaxed geometry. Source: Alexandria via LeMat-Bulk, functional PBE. Values from VASP.

Computed properties:
symmetry: R-3m

Geometry as Quantum ESPRESSO input:
```
&SYSTEM
  ibrav = 0, nat = 5, ntyp = 3
/
ATOMIC_SPECIES
Ca 40.08 Ca.upf
La 138.91 La.upf
Nd 144.24 Nd.upf
CELL_PARAMETERS angstrom
1.865 1.077 15.420
-1.865 1.077 15.420
0.000 -2.154 15.420
ATOMIC_POSITIONS angstrom
Ca 0.000 0.000 0.000
La 0.000 0.000 9.276
La 0.000 0.000 36.985
Nd 0.000 0.000 18.606
Nd 0.000 0.000 27.655
```

Crystalline CaLa6Nd4 at its relaxed geometry. Source: Alexandria via LeMat-Bulk, functional PBE. Values from VASP.

Computed properties:
symmetry: I-42m

Geometry as Quantum ESPRESSO input:
```
&SYSTEM
  ibrav = 0, nat = 11, ntyp = 3
/
ATOMIC_SPECIES
Ca 40.08 Ca.upf
La 138.91 La.upf
Nd 144.24 Nd.upf
CELL_PARAMETERS angstrom
-3.413 3.413 8.638
3.413 -3.413 8.638
3.413 3.413 -8.638
ATOMIC_POSITIONS angstrom
Ca 0.000 0.000 0.000
La 3.413 0.000 0.000
La 2.342 2.342 -2.048
La 1.071 -1.071 10.686
La 0.000 3.413 0.000
La 1.071 1.071 6.590
La -1.071 1.071 10.686
Nd 2.183 2.183 -5.396
Nd 1.230 1.230 3.243
Nd 1.230 -1.230 14.034
Nd -1.230 1.230 14.034
```

Crystalline Ca3La12Nd at its relaxed geometry. Source: Alexandria via LeMat-Bulk, functional PBE. Values from VASP.

Computed properties:
symmetry: P4/mmm

Geometry as Quantum ESPRESSO input:
```
&SYSTEM
  ibrav = 0, nat = 16, ntyp = 3
/
ATOMIC_SPECIES
Ca 40.08 Ca.upf
La 138.91 La.upf
Nd 144.24 Nd.upf
CELL_PARAMETERS angstrom
5.311 0.000 0.000
0.000 5.311 0.000
0.000 0.000 21.220
ATOMIC_POSITIONS angstrom
Ca 0.000 0.000 0.000
Ca 0.000 0.000 5.333
Ca 0.000 0.000 15.888
La 0.000 2.655 2.668
La 0.000 2.655 8.041
La 0.000 2.655 13.179
La 0.000 2.655 18.552
La 2.655 0.000 2.668
La 2.655 0.000 8.041
La 2.655 0.000 13.179
La 2.655 0.000 18.552
La 2.655 2.655 0.000
La 2.655 2.655 5.308
La 2.655 2.655 10.610
La 2.655 2.655 15.913
Nd 0.000 0.000 10.610
```

Crystalline CaLaNd at its relaxed geometry. Source: Alexandria via LeMat-Bulk, functional PBE. Values from VASP.

Computed properties:
symmetry: P3m1

Geometry as Quantum ESPRESSO input:
```
&SYSTEM
  ibrav = 0, nat = 3, ntyp = 3
/
ATOMIC_SPECIES
Ca 40.08 Ca.upf
La 138.91 La.upf
Nd 144.24 Nd.upf
CELL_PARAMETERS angstrom
3.750 0.000 0.000
-1.875 3.248 0.000
0.000 0.000 9.351
ATOMIC_POSITIONS angstrom
Ca 0.000 0.000 0.000
La 0.000 2.165 6.083
Nd 1.875 1.083 3.175
```

Crystalline CaLa7Nd3 at its relaxed geometry. Source: Alexandria via LeMat-Bulk, functional PBE. Values from VASP.

Computed properties:
symmetry: P3m1

Geometry as Quantum ESPRESSO input:
```
&SYSTEM
  ibrav = 0, nat = 11, ntyp = 3
/
ATOMIC_SPECIES
Ca 40.08 Ca.upf
La 138.91 La.upf
Nd 144.24 Nd.upf
CELL_PARAMETERS angstrom
7.397 0.000 0.000
-3.699 6.406 0.000
0.000 0.000 8.894
ATOMIC_POSITIONS angstrom
Ca 0.000 0.000 0.000
La -1.843 3.207 0.118
La 0.000 4.271 6.106
La 1.907 1.101 5.874
La 1.843 3.207 0.118
La 0.000 6.398 0.118
La 5.490 1.101 5.874
La 3.699 4.204 5.874
Nd 0.000 2.171 3.077
Nd -1.819 5.321 3.077
Nd 1.819 5.321 3.077
```

Crystalline CaLaNd3 at its relaxed geometry. Source: Alexandria via LeMat-Bulk, functional PBE. Values from VASP.

Computed properties:
symmetry: R-3

Geometry as Quantum ESPRESSO input:
```
&SYSTEM
  ibrav = 0, nat = 10, ntyp = 3
/
ATOMIC_SPECIES
Ca 40.08 Ca.upf
La 138.91 La.upf
Nd 144.24 Nd.upf
CELL_PARAMETERS angstrom
3.105 1.792 12.062
-3.105 1.792 12.062
0.000 -3.585 12.062
ATOMIC_POSITIONS angstrom
Ca 0.000 0.000 6.008
Ca 0.000 0.000 30.179
La 0.000 0.000 12.073
La 0.000 0.000 24.113
Nd -2.057 0.005 14.978
Nd -1.033 -1.779 21.208
Nd 1.024 -1.784 14.978
Nd -1.024 1.784 21.208
Nd 1.033 1.779 14.978
Nd 2.057 -0.005 21.208
```

Energy relative to the elements
In order: 0.07; 0.33; 0.03; 0.26; 0.05; 0.03; 0.18; 0.34
Unit: eV per atom